# PBE CrCo2Au, relaxed
# Distance to the lowest polymorph of the same formula   0.19 kJ/mol of atoms
# E_tot   -26.20 eV/cell
# DOS(E_F)   6.00 states/eV/f.u.
# ρ   12040 kg/m³
data_CrCo2Au
_chemical_formula_sum 'Cr1 Co2 Au1'
_cell_length_a 2.6449
_cell_length_b 2.6449
_cell_length_c 7.2320
_cell_angle_alpha 90.00
_cell_angle_beta 90.00
_cell_angle_gamma 90.00
_space_group_name_H-M_alt 'P 4/m m m'
_space_group_IT_number 123
_space_group_name_Hall '-P 4 2'
loop_
_atom_site_label
_atom_site_type_symbol
_atom_site_fract_x
_atom_site_fract_y
_atom_site_fract_z
_atom_site_occupancy
Cr1 Cr 0.0000 0.0000 0.0000 1
Co1 Co 0.5000 0.5000 0.2165 1
Au1 Au 0.0000 0.0000 0.5000 1



# PBE In4IrCl, relaxed
# E_tot   -74.39 eV/cell
# DOS(E_F)   2.42 states/eV/f.u.
# ρ   7941 kg/m³
# Formation energy from raw total energies   49.3 kJ per mole of atoms
data_In4IrCl
_chemical_formula_sum 'In16 Ir4 Cl4'
_cell_length_a 8.3136
_cell_length_b 8.3136
_cell_length_c 8.3136
_cell_angle_alpha 90.00
_cell_angle_beta 90.00
_cell_angle_gamma 90.00
_space_group_name_H-M_alt 'F -4 3 m'
_space_group_IT_number 216
_space_group_name_Hall 'F -4 2 3'
loop_
_atom_site_label
_atom_site_type_symbol
_atom_site_fract_x
_atom_site_fract_y
_atom_site_fract_z
_atom_site_occupancy
In1 In 0.1246 0.1246 0.1246 1
Ir1 Ir 0.2500 0.2500 0.7500 1
Cl1 Cl 0.0000 0.0000 0.5000 1



# PBE Tb5Sb2Pt, relaxed
# E_tot   -170.20 eV/cell
# DOS(E_F)   6.58 states/eV/f.u.
# ρ   9125 kg/m³
# Formation energy from raw total energies   -61.7 kJ per mole of atoms
data_Tb5Sb2Pt
_chemical_formula_sum 'Tb20 Sb8 Pt4'
_cell_length_a 5.8225
_cell_length_b 9.5395
_cell_length_c 16.1616
_cell_angle_alpha 90.00
_cell_angle_beta 90.00
_cell_angle_gamma 90.00
_space_group_name_H-M_alt 'C m c m'
_space_group_IT_number 63
_space_group_name_Hall '-C 2c 2'
loop_
_atom_site_label
_atom_site_type_symbol
_atom_site_fract_x
_atom_site_fract_y
_atom_site_fract_z
_atom_site_occupancy
Tb1 Tb 0.0000 0.0725 0.0959 1
Tb2 Tb 0.0000 0.2418 0.7500 1
Tb3 Tb 0.0000 0.4103 0.1213 1
Sb1 Sb 0.0000 0.2695 0.5612 1
Pt1 Pt 0.0000 0.1976 0.2500 1



# PBE AcDy2HoTl4, relaxed
# E_tot   -89.53 eV/cell
# DOS(E_F)   6.37 states/eV/f.u.
# ρ   10809 kg/m³
data_AcDy2HoTl4
_chemical_formula_sum 'Ac3 Dy6 Ho3 Tl12'
_cell_length_a 5.4826
_cell_length_b 5.4826
_cell_length_c 27.1658
_cell_angle_alpha 90.00
_cell_angle_beta 90.00
_cell_angle_gamma 120.00
_space_group_name_H-M_alt 'R -3 m'
_space_group_IT_number 166
_space_group_name_Hall '-R 3 2"'
loop_
_atom_site_label
_atom_site_type_symbol
_atom_site_fract_x
_atom_site_fract_y
_atom_site_fract_z
_atom_site_occupancy
Ac1 Ac 0.0000 0.0000 0.0000 1
Dy1 Dy 0.0000 0.0000 0.2481 1
Ho1 Ho 0.0000 0.0000 0.5000 1
Tl1 Tl 0.0000 0.0000 0.1287 1
Tl2 Tl 0.0000 0.0000 0.3804 1



# PBE TbCeGaRh, relaxed
# Distance to the lowest polymorph of the same formula   0.00 kJ/mol of atoms
# E_tot   -47.48 eV/cell
# DOS(E_F)   4.90 states/eV/f.u.
# ρ   8527 kg/m³
data_TbCeGaRh
_chemical_formula_sum 'Tb2 Ce2 Ga2 Rh2'
_cell_length_a 3.8467
_cell_length_b 4.2129
_cell_length_c 11.3362
_cell_angle_alpha 90.00
_cell_angle_beta 90.00
_cell_angle_gamma 90.00
_space_group_name_H-M_alt 'A m m 2'
_space_group_IT_number 38
_space_group_name_Hall 'A 2 -2'
loop_
_atom_site_label
_atom_site_type_symbol
_atom_site_fract_x
_atom_site_fract_y
_atom_site_fract_z
_atom_site_occupancy
Tb1 Tb 0.0000 0.0000 0.0000 1
Ce1 Ce 0.5000 0.0000 0.2806 1
Ga1 Ga 0.5000 0.0000 0.5748 1
Rh1 Rh 0.0000 0.0000 0.7400 1



# PBE BaSrRu2, relaxed
# Distance to the lowest polymorph of the same formula   25.68 kJ/mol of atoms
# E_tot   -40.71 eV/cell
# DOS(E_F)   3.94 states/eV/f.u.
# ρ   6116 kg/m³
data_BaSrRu2
_chemical_formula_sum 'Ba2 Sr2 Ru4'
_cell_length_a 4.6337
_cell_length_b 5.3398
_cell_length_c 9.3733
_cell_angle_alpha 90.00
_cell_angle_beta 90.00
_cell_angle_gamma 90.00
_space_group_name_H-M_alt 'C m m 2'
_space_group_IT_number 35
_space_group_name_Hall 'C 2 -2'
loop_
_atom_site_label
_atom_site_type_symbol
_atom_site_fract_x
_atom_site_fract_y
_atom_site_fract_z
_atom_site_occupancy
Ba1 Ba 0.0000 0.0000 0.0000 1
Sr1 Sr 0.0000 0.5000 0.4228 1
Ru1 Ru 0.0000 0.0000 0.6625 1
Ru2 Ru 0.0000 0.5000 0.7456 1



# PBE MgNiSnSe, relaxed
# Distance to the lowest polymorph of the same formula   9.28 kJ/mol of atoms
# E_tot   -32.60 eV/cell
# DOS(E_F)   1.09 states/eV/f.u.
# ρ   5708 kg/m³
# Formation energy from raw total energies   -34.7 kJ per mole of atoms
data_MgNiSnSe
_chemical_formula_sum 'Mg2 Ni2 Sn2 Se2'
_cell_length_a 4.9714
_cell_length_b 4.9732
_cell_length_c 7.0546
_cell_angle_alpha 90.00
_cell_angle_beta 110.56
_cell_angle_gamma 90.00
_space_group_name_H-M_alt 'C 1 m 1'
_space_group_IT_number 8
_space_group_name_Hall 'C -2y'
loop_
_atom_site_label
_atom_site_type_symbol
_atom_site_fract_x
_atom_site_fract_y
_atom_site_fract_z
_atom_site_occupancy
Mg1 Mg 0.0000 0.0000 0.0000 1
Ni1 Ni 0.3605 0.0000 0.7161 1
Sn1 Sn 0.2834 0.5000 0.5605 1
Se1 Se 0.0614 0.5000 0.1230 1



# PBE CrNi8B2, relaxed
# E_tot   -139.73 eV/cell
# DOS(E_F)   9.89 states/eV/f.u.
# ρ   8064 kg/m³
data_CrNi8B2
_chemical_formula_sum 'Cr2 Ni16 B4'
_cell_length_a 11.9531
_cell_length_b 4.7244
_cell_length_c 4.1203
_cell_angle_alpha 90.00
_cell_angle_beta 105.97
_cell_angle_gamma 90.00
_space_group_name_H-M_alt 'C 1 2/m 1'
_space_group_IT_number 12
_space_group_name_Hall '-C 2y'
loop_
_atom_site_label
_atom_site_type_symbol
_atom_site_fract_x
_atom_site_fract_y
_atom_site_fract_z
_atom_site_occupancy
Cr1 Cr 0.0000 0.0000 0.0000 1
Ni1 Ni 0.0924 0.5000 0.9784 1
Ni2 Ni 0.1148 0.2465 0.5057 1
Ni3 Ni 0.2074 0.0000 0.0846 1
B1 B 0.2371 0.5000 0.3576 1



# PBE Cu3Si23, relaxed
# E_tot   -258.93 eV/cell
# DOS(E_F)   7.24 states/eV/f.u.
# ρ   2657 kg/m³
# Formation energy from raw total energies   28.0 kJ per mole of atoms
data_Cu3Si23
_chemical_formula_sum 'Cu6 Si46'
_cell_length_a 10.1499
_cell_length_b 10.1499
_cell_length_c 10.1499
_cell_angle_alpha 90.00
_cell_angle_beta 90.00
_cell_angle_gamma 90.00
_space_group_name_H-M_alt 'P m -3 n'
_space_group_IT_number 223
_space_group_name_Hall '-P 4n 2 3'
loop_
_atom_site_label
_atom_site_type_symbol
_atom_site_fract_x
_atom_site_fract_y
_atom_site_fract_z
_atom_site_occupancy
Cu1 Cu 0.0000 0.2500 0.5000 1
Si1 Si 0.0000 0.3102 0.1163 1
Si2 Si 0.0000 0.5000 0.2500 1
Si3 Si 0.1840 0.1840 0.1840 1



# PBE Ba2CdIr, relaxed
# E_tot   -27.41 eV/cell
# DOS(E_F)   2.71 states/eV/f.u.
# ρ   6140 kg/m³
data_Ba2CdIr
_chemical_formula_sum 'Ba4 Cd2 Ir2'
_cell_length_a 7.9066
_cell_length_b 4.5630
_cell_length_c 9.0717
_cell_angle_alpha 90.00
_cell_angle_beta 106.80
_cell_angle_gamma 90.00
_space_group_name_H-M_alt 'C 1 2/m 1'
_space_group_IT_number 12
_space_group_name_Hall '-C 2y'
loop_
_atom_site_label
_atom_site_type_symbol
_atom_site_fract_x
_atom_site_fract_y
_atom_site_fract_z
_atom_site_occupancy
Ba1 Ba 0.2290 0.0000 0.1878 1
Cd1 Cd 0.0000 0.0000 0.5000 1
Ir1 Ir 0.0000 0.5000 0.0000 1



# PBE Ba2LaZn, relaxed
# E_tot   -18.46 eV/cell
# DOS(E_F)   7.14 states/eV/f.u.
# ρ   5234 kg/m³
data_Ba2LaZn
_chemical_formula_sum 'Ba4 La2 Zn2'
_cell_length_a 5.3141
_cell_length_b 5.3141
_cell_length_c 10.7612
_cell_angle_alpha 90.00
_cell_angle_beta 90.00
_cell_angle_gamma 90.00
_space_group_name_H-M_alt 'I -4 m 2'
_space_group_IT_number 119
_space_group_name_Hall 'I -4 -2'
loop_
_atom_site_label
_atom_site_type_symbol
_atom_site_fract_x
_atom_site_fract_y
_atom_site_fract_z
_atom_site_occupancy
Ba1 Ba 0.0000 0.0000 0.0000 1
Ba2 Ba 0.0000 0.5000 0.2500 1
La1 La 0.0000 0.5000 0.7500 1
Zn1 Zn 0.0000 0.0000 0.5000 1



# PBE KAg4Au, relaxed
# Distance to the lowest polymorph of the same formula   18.76 kJ/mol of atoms
# E_tot   -28.87 eV/cell
# DOS(E_F)   1.28 states/eV/f.u.
# ρ   5684 kg/m³
data_KAg4Au
_chemical_formula_sum 'K2 Ag8 Au2'
_cell_length_a 8.9794
_cell_length_b 6.0982
_cell_length_c 8.1326
_cell_angle_alpha 90.00
_cell_angle_beta 118.85
_cell_angle_gamma 90.00
_space_group_name_H-M_alt 'C 1 2/m 1'
_space_group_IT_number 12
_space_group_name_Hall '-C 2y'
loop_
_atom_site_label
_atom_site_type_symbol
_atom_site_fract_x
_atom_site_fract_y
_atom_site_fract_z
_atom_site_occupancy
K1 K 0.0000 0.0000 0.0000 1
Ag1 Ag 0.0424 0.5000 0.1812 1
Ag2 Ag 0.2500 0.2500 0.5000 1
Au1 Au 0.0000 0.5000 0.5000 1



# PBE ZrBePb2, relaxed
# E_tot   -37.24 eV/cell
# DOS(E_F)   1.95 states/eV/f.u.
# ρ   9761 kg/m³
data_ZrBePb2
_chemical_formula_sum 'Zr2 Be2 Pb4'
_cell_length_a 4.2173
_cell_length_b 4.2173
_cell_length_c 9.8453
_cell_angle_alpha 90.00
_cell_angle_beta 90.00
_cell_angle_gamma 90.00
_space_group_name_H-M_alt 'I -4 m 2'
_space_group_IT_number 119
_space_group_name_Hall 'I -4 -2'
loop_
_atom_site_label
_atom_site_type_symbol
_atom_site_fract_x
_atom_site_fract_y
_atom_site_fract_z
_atom_site_occupancy
Zr1 Zr 0.0000 0.0000 0.0000 1
Be1 Be 0.0000 0.5000 0.7500 1
Pb1 Pb 0.0000 0.0000 0.5000 1
Pb2 Pb 0.0000 0.5000 0.2500 1



# PBE Rb3Pu2TiTe6, relaxed
# E_tot   -140.48 eV/cell
# DOS(E_F)   28.42 states/eV/f.u.
# ρ   5889 kg/m³
# Formation energy from raw total energies   -95.9 kJ per mole of atoms
data_Rb3Pu2TiTe6
_chemical_formula_sum 'Rb6 Pu4 Ti2 Te12'
_cell_length_a 7.7145
_cell_length_b 13.3647
_cell_length_c 8.9038
_cell_angle_alpha 90.00
_cell_angle_beta 106.87
_cell_angle_gamma 90.00
_space_group_name_H-M_alt 'C 1 2/m 1'
_space_group_IT_number 12
_space_group_name_Hall '-C 2y'
loop_
_atom_site_label
_atom_site_type_symbol
_atom_site_fract_x
_atom_site_fract_y
_atom_site_fract_z
_atom_site_occupancy
Rb1 Rb 0.0000 0.0000 0.0000 1
Rb2 Rb 0.0000 0.3272 0.0000 1
Pu1 Pu 0.0000 0.1660 0.5000 1
Ti1 Ti 0.0000 0.5000 0.5000 1
Te1 Te 0.2197 0.3446 0.6931 1
Te2 Te 0.2449 0.5000 0.3048 1



# PBE CdRhN3, relaxed
# E_tot   -25.51 eV/cell
# DOS(E_F)   4.33 states/eV/f.u.
# ρ   7069 kg/m³
# Formation energy from raw total energies   149.3 kJ per mole of atoms
data_CdRhN3
_chemical_formula_sum 'Cd1 Rh1 N3'
_cell_length_a 3.9246
_cell_length_b 3.9246
_cell_length_c 3.9246
_cell_angle_alpha 90.00
_cell_angle_beta 90.00
_cell_angle_gamma 90.00
_space_group_name_H-M_alt 'P m -3 m'
_space_group_IT_number 221
_space_group_name_Hall '-P 4 2 3'
loop_
_atom_site_label
_atom_site_type_symbol
_atom_site_fract_x
_atom_site_fract_y
_atom_site_fract_z
_atom_site_occupancy
Cd1 Cd 0.0000 0.0000 0.0000 1
Rh1 Rh 0.5000 0.5000 0.5000 1
N1 N 0.0000 0.5000 0.5000 1



# PBE SiSbAs2Br, relaxed
# Distance to the lowest polymorph of the same formula   50.59 kJ/mol of atoms
# E_tot   -15.49 eV/cell
# DOS(E_F)   4.67 states/eV/f.u.
# ρ   4118 kg/m³
# Formation energy from raw total energies   97.0 kJ per mole of atoms
data_SiSbAs2Br
_chemical_formula_sum 'Si1 Sb1 As2 Br1'
_cell_length_a 5.3391
_cell_length_b 5.3391
_cell_length_c 5.3698
_cell_angle_alpha 90.00
_cell_angle_beta 90.00
_cell_angle_gamma 90.00
_space_group_name_H-M_alt 'P 4/m m m'
_space_group_IT_number 123
_space_group_name_Hall '-P 4 2'
loop_
_atom_site_label
_atom_site_type_symbol
_atom_site_fract_x
_atom_site_fract_y
_atom_site_fract_z
_atom_site_occupancy
Si1 Si 0.0000 0.0000 0.0000 1
Sb1 Sb 0.5000 0.5000 0.5000 1
As1 As 0.0000 0.5000 0.5000 1
Br1 Br 0.5000 0.5000 0.0000 1



# PBE BaCOF2, relaxed
# Distance to the lowest polymorph of the same formula   127.93 kJ/mol of atoms
# E_tot   -19.07 eV/cell
# DOS(E_F)   11.65 states/eV/f.u.
# ρ   2786 kg/m³
# Formation energy from raw total energies   15.1 kJ per mole of atoms
data_BaCOF2
_chemical_formula_sum 'Ba1 C1 O1 F2'
_cell_length_a 4.9848
_cell_length_b 4.9848
_cell_length_c 4.8775
_cell_angle_alpha 90.00
_cell_angle_beta 90.00
_cell_angle_gamma 90.00
_space_group_name_H-M_alt 'P 4/m m m'
_space_group_IT_number 123
_space_group_name_Hall '-P 4 2'
loop_
_atom_site_label
_atom_site_type_symbol
_atom_site_fract_x
_atom_site_fract_y
_atom_site_fract_z
_atom_site_occupancy
Ba1 Ba 0.0000 0.0000 0.0000 1
C1 C 0.5000 0.5000 0.5000 1
O1 O 0.0000 0.0000 0.5000 1
F1 F 0.0000 0.5000 0.0000 1



# PBE HoTm2Pa, relaxed
# Distance to the lowest polymorph of the same formula   2.10 kJ/mol of atoms
# E_tot   -22.54 eV/cell
# DOS(E_F)   6.87 states/eV/f.u.
# ρ   10571 kg/m³
data_HoTm2Pa
_chemical_formula_sum 'Ho1 Tm2 Pa1'
_cell_length_a 3.3900
_cell_length_b 3.3900
_cell_length_c 10.0303
_cell_angle_alpha 90.00
_cell_angle_beta 90.00
_cell_angle_gamma 90.00
_space_group_name_H-M_alt 'P 4/m m m'
_space_group_IT_number 123
_space_group_name_Hall '-P 4 2'
loop_
_atom_site_label
_atom_site_type_symbol
_atom_site_fract_x
_atom_site_fract_y
_atom_site_fract_z
_atom_site_occupancy
Ho1 Ho 0.0000 0.0000 0.0000 1
Tm1 Tm 0.5000 0.5000 0.2644 1
Pa1 Pa 0.0000 0.0000 0.5000 1



# PBE Al2CdO4, relaxed
# E_tot   -44.67 eV/cell
# DOS(E_F)   0.00 states/eV/f.u.
# ρ   4035 kg/m³
# Formation energy from raw total energies   -226.5 kJ per mole of atoms
data_Al2CdO4
_chemical_formula_sum 'Al2 Cd1 O4'
_cell_length_a 4.2712
_cell_length_b 4.2712
_cell_length_c 5.1972
_cell_angle_alpha 90.00
_cell_angle_beta 90.00
_cell_angle_gamma 90.00
_space_group_name_H-M_alt 'P -4 2 m'
_space_group_IT_number 111
_space_group_name_Hall 'P -4 2'
loop_
_atom_site_label
_atom_site_type_symbol
_atom_site_fract_x
_atom_site_fract_y
_atom_site_fract_z
_atom_site_occupancy
Al1 Al 0.0000 0.5000 0.0000 1
Cd1 Cd 0.0000 0.0000 0.5000 1
O1 O 0.2497 0.2497 0.8144 1



# PBE Ca2AsPd2, relaxed
# Distance to the lowest polymorph of the same formula   24.13 kJ/mol of atoms
# E_tot   -44.05 eV/cell
# DOS(E_F)   3.03 states/eV/f.u.
# ρ   5152 kg/m³
data_Ca2AsPd2
_chemical_formula_sum 'Ca4 As2 Pd4'
_cell_length_a 5.6161
_cell_length_b 5.6161
_cell_length_c 7.5199
_cell_angle_alpha 90.00
_cell_angle_beta 90.00
_cell_angle_gamma 90.00
_space_group_name_H-M_alt 'I 4/m m m'
_space_group_IT_number 139
_space_group_name_Hall '-I 4 2'
loop_
_atom_site_label
_atom_site_type_symbol
_atom_site_fract_x
_atom_site_fract_y
_atom_site_fract_z
_atom_site_occupancy
Ca1 Ca 0.0000 0.5000 0.2500 1
As1 As 0.0000 0.0000 0.0000 1
Pd1 Pd 0.0000 0.0000 0.3288 1